(1)
The following is a GGA-PBEsol calculation of a relaxed TaCuRu crystal, from the Alexandria database.

Results
E: -8.4554 eV/atom
Excess energy over the best structure of this formula in the dataset: 704 meV per atom
Total magnetization: 0.00 μB per cell
Formation energy from the elements: 0.564 eV per atom
Density: 11.3 g/cm³

a = 5.8840 Å, b = 5.8840 Å, c = 5.8840 Å
α = 90.00°, β = 90.00°, γ = 90.00°
Closest atoms and distances in Å follow each position.
Space group F-43m (No. 216)
One atom of each set of equivalent atoms:
Ta: 0.0000 0.0000 0.0000  4 Ru 2.55, 4 Cu 2.55
Cu: 0.2500 0.2500 0.7500  4 Ta 2.55
Ru: 0.2500 0.2500 0.2500  4 Ta 2.55

---

(2)
The following is a GGA-PBEsol calculation of a relaxed TaCu2Ru crystal, from the Alexandria database.

Results
E: -7.5862 eV/atom
Excess energy over the best structure of this formula in the dataset: 354 meV per atom
Total magnetization: 0.01 μB per cell
Formation energy from the elements: 0.262 eV per atom
Density: 12.6 g/cm³

a = 2.7217 Å, b = 2.7217 Å, c = 7.2696 Å
α = 90.00°, β = 90.00°, γ = 90.00°
Closest atoms and distances in Å follow each position.
Space group P4/mmm (No. 123)
One atom of each set of equivalent atoms:
Ta: 0.0000 0.0000 0.0000  8 Cu 2.71, 4 Ta 2.72
Cu: 0.5000 0.5000 0.2632  4 Ru 2.58, 4 Ta 2.71, 4 Cu 2.72
Ru: 0.0000 0.0000 0.5000  8 Cu 2.58, 4 Ru 2.72

---

(3)
The following is a GGA-PBEsol calculation of a relaxed TaCuRu crystal, from the Alexandria database.

Results
E: -9.1592 eV/atom
Excess energy over the best structure of this formula in the dataset: 0 meV per atom
Total magnetization: 0.00 μB per cell
Formation energy from the elements: -0.140 eV per atom
Density: 13.4 g/cm³

a = 3.2234 Å, b = 3.2234 Å, c = 8.2466 Å
α = 90.00°, β = 90.00°, γ = 90.00°
Closest atoms and distances in Å follow each position.
Space group I4mm (No. 107)
One atom of each set of equivalent atoms:
Ta: 0.0000 0.0000 0.0000  5 Ru 2.64-2.80, 5 Cu 2.67-2.72
Cu: 0.0000 0.0000 0.6696  5 Ta 2.67-2.72, 5 Ru 2.68-2.72
Ru: 0.0000 0.0000 0.3396  5 Ta 2.64-2.80, 5 Cu 2.68-2.72

---

(4)
The following is a GGA-PBEsol calculation of a relaxed TaCu2Ru crystal, from the Alexandria database.

Results
E: -7.9403 eV/atom
Excess energy over the best structure of this formula in the dataset: 0 meV per atom
Total magnetization: 0.00 μB per cell
Formation energy from the elements: -0.092 eV per atom
Density: 12.7 g/cm³

a = 3.6298 Å, b = 3.6298 Å, c = 8.1042 Å
α = 90.00°, β = 90.00°, γ = 90.00°
Closest atoms and distances in Å follow each position.
Space group I4/mmm (No. 139)
One atom of each set of equivalent atoms:
Ta: 0.0000 0.0000 0.0000  4 Ru 2.57, 8 Cu 2.72
Cu: 0.0000 0.5000 0.2500  4 Cu 2.57, 4 Ta 2.72, 4 Ru 2.72
Ru: 0.0000 0.0000 0.5000  4 Ta 2.57, 8 Cu 2.72

---

(5)
The following is a GGA-PBEsol calculation of a relaxed CuTc2Ru crystal, from the Alexandria database.

Results
E: -9.0640 eV/atom
Excess energy over the best structure of this formula in the dataset: 41 meV per atom
Total magnetization: 0.00 μB per cell
Formation energy from the elements: 0.196 eV per atom
Density: 11.3 g/cm³

a = 8.8555 Å, b = 2.6456 Å, c = 4.5997 Å
α = 90.00°, β = 99.54°, γ = 90.00°
Closest atoms and distances in Å follow each position.
Space group Cm (No. 8)
One atom of each set of equivalent atoms:
Cu: 0.0000 0.0000 0.0000  3 Ru 2.63-2.70, 7 Tc 2.64-2.69, 2 Cu 2.65
Tc: 0.2475 0.0000 0.7505  3 Cu 2.64-2.69, 5 Tc 2.65-2.69, 4 Ru 2.65-2.66
Tc: 0.4959 0.0000 0.4965  3 Ru 2.61-2.71, 4 Cu 2.64-2.66, 5 Tc 2.65-2.69
Ru: 0.2541 0.5000 0.2533  7 Tc 2.61-2.71, 3 Cu 2.63-2.70, 2 Ru 2.65

---

(6)
The following is a GGA-PBEsol calculation of a relaxed Cu2TcRu crystal, from the Alexandria database.

Results
E: -7.1988 eV/atom
Excess energy over the best structure of this formula in the dataset: 162 meV per atom
Total magnetization: 0.00 μB per cell
Formation energy from the elements: 0.328 eV per atom
Density: 10.7 g/cm³

a = 4.9006 Å, b = 7.9102 Å, c = 2.6116 Å
α = 90.00°, β = 90.00°, γ = 90.00°
Closest atoms and distances in Å follow each position.
Space group Cmmm (No. 65)
One atom of each set of equivalent atoms:
Cu: 0.2500 0.2500 0.0000  4 Cu 2.45-2.61, 4 Tc 2.67, 4 Ru 2.67
Tc: 0.0000 0.0000 0.5000  2 Ru 2.45, 2 Tc 2.61, 8 Cu 2.67
Ru: 0.0000 0.5000 0.5000  2 Tc 2.45, 2 Ru 2.61, 8 Cu 2.67

---

(7)
The following is a GGA-PBEsol calculation of a relaxed CuTcRu2 crystal, from the Alexandria database.

Results
E: -8.7926 eV/atom
Total magnetization: 0.00 μB per cell
Formation energy from the elements: 0.194 eV per atom
Density: 11.5 g/cm³

a = 2.6942 Å, b = 2.6942 Å, c = 7.2307 Å
α = 90.00°, β = 90.00°, γ = 90.00°
Closest atoms and distances in Å follow each position.
Space group P4/mmm (No. 123)
One atom of each set of equivalent atoms:
Cu: 0.0000 0.0000 0.0000  8 Ru 2.61, 4 Cu 2.69
Tc: 0.0000 0.0000 0.5000  8 Ru 2.64, 4 Tc 2.69
Ru: 0.5000 0.5000 0.2469  4 Cu 2.61, 4 Tc 2.64, 4 Ru 2.69

---

(8)
The following is a GGA-PBEsol calculation of a relaxed CuTcRu crystal, from the Alexandria database.

Results
E: -8.3770 eV/atom
Total magnetization: 0.00 μB per cell
Formation energy from the elements: 0.214 eV per atom
Density: 11.2 g/cm³

a = 3.0407 Å, b = 3.0407 Å, c = 8.3990 Å
α = 90.00°, β = 90.00°, γ = 90.00°
Closest atoms and distances in Å follow each position.
Space group I4mm (No. 107)
One atom of each set of equivalent atoms:
Cu: 0.0000 0.0000 0.0000  5 Ru 2.56-2.81, 5 Tc 2.57-2.80
Tc: 0.0000 0.0000 0.3328  5 Cu 2.57-2.80, 5 Ru 2.57-2.79
Ru: 0.0000 0.0000 0.6654  5 Cu 2.56-2.81, 5 Tc 2.57-2.79

---

(9)
The following is a GGA-PBEsol calculation of a relaxed Cu2TcRu crystal, from the Alexandria database.

Results
E: -7.3604 eV/atom
Excess energy over the best structure of this formula in the dataset: 0 meV per atom
Total magnetization: 0.00 μB per cell
Formation energy from the elements: 0.166 eV per atom
Density: 10.7 g/cm³

a = 2.6803 Å, b = 3.6495 Å, c = 5.1899 Å
α = 90.00°, β = 90.00°, γ = 90.00°
Closest atoms and distances in Å follow each position.
Space group Pmm2 (No. 25)
One atom of each set of equivalent atoms:
Cu: 0.0000 0.0000 0.0000  6 Cu 2.53-2.68, 2 Ru 2.58-2.61, 4 Tc 2.68
Cu: 0.5000 0.5000 0.2183  6 Cu 2.53-2.68, 2 Tc 2.58-2.61, 4 Ru 2.69
Tc: 0.5000 0.5000 0.7221  4 Ru 2.55, 6 Cu 2.58-2.68, 2 Tc 2.68
Ru: 0.0000 0.0000 0.4969  4 Tc 2.55, 6 Cu 2.58-2.69, 2 Ru 2.68

---

(10)
The following is a GGA-PBEsol calculation of a relaxed Cu2TcRu crystal, from the Alexandria database.

Results
E: -7.2142 eV/atom
Excess energy over the best structure of this formula in the dataset: 146 meV per atom
Total magnetization: 0.02 μB per cell
Formation energy from the elements: 0.313 eV per atom
Density: 10.5 g/cm³

a = 2.7501 Å, b = 4.3556 Å, c = 8.6319 Å
α = 90.00°, β = 90.00°, γ = 90.00°
Closest atoms and distances in Å follow each position.
Space group Cmm2 (No. 35)
One atom of each set of equivalent atoms:
Cu: 0.0000 0.0000 0.0000  6 Cu 2.44-2.58, 2 Ru 2.61
Cu: 0.0000 0.5000 0.2340  6 Cu 2.44-2.58, 2 Tc 2.62
Tc: 0.0000 0.0000 0.4925  2 Ru 2.57, 6 Tc 2.58-2.75, 2 Cu 2.62
Ru: 0.0000 0.5000 0.7437  2 Tc 2.57, 6 Ru 2.58-2.75, 2 Cu 2.61

---

(11)
The following is a GGA-PBEsol calculation of a relaxed CuTc2Ru crystal, from the Alexandria database.

Results
E: -9.1047 eV/atom
Excess energy over the best structure of this formula in the dataset: 0 meV per atom
Total magnetization: 0.00 μB per cell
Formation energy from the elements: 0.155 eV per atom
Density: 11.2 g/cm³

a = 2.6711 Å, b = 2.6711 Å, c = 25.9691 Å
α = 90.00°, β = 90.00°, γ = 120.00°
Closest atoms and distances in Å follow each position.
Space group R3m (No. 160, hexagonal axes)
One atom of each set of equivalent atoms:
Cu: 0.0000 0.0000 0.0000  3 Ru 2.65, 6 Cu 2.67, 3 Tc 2.67
Tc: 0.0000 0.0000 0.2492  9 Tc 2.66-2.67, 3 Cu 2.67
Tc: 0.0000 0.0000 0.4989  3 Ru 2.64, 9 Tc 2.66-2.67
Ru: 0.0000 0.0000 0.7496  3 Tc 2.64, 3 Cu 2.65, 6 Ru 2.67

---

(12)
The following is a GGA-PBEsol calculation of a relaxed CuTc2Ru crystal, from the Alexandria database.

Results
E: -9.0405 eV/atom
Excess energy over the best structure of this formula in the dataset: 64 meV per atom
Total magnetization: 0.00 μB per cell
Formation energy from the elements: 0.219 eV per atom
Density: 11.3 g/cm³

a = 5.2026 Å, b = 7.6145 Å, c = 2.6684 Å
α = 90.00°, β = 90.00°, γ = 90.00°
Closest atoms and distances in Å follow each position.
Space group Cmmm (No. 65)
One atom of each set of equivalent atoms:
Cu: 0.0000 0.0000 0.0000  2 Ru 2.60, 8 Tc 2.66, 2 Cu 2.67
Tc: 0.2500 0.2500 0.5000  4 Tc 2.60-2.67, 4 Ru 2.66, 4 Cu 2.66
Ru: 0.0000 0.5000 0.0000  2 Cu 2.60, 8 Tc 2.66, 2 Ru 2.67

---

| no. | volume (Å³/atom) |
| --- | --- |
| 1 | 16.98 |
| 2 | 13.46 |
| 3 | 14.28 |
| 4 | 13.35 |
| 5 | 13.28 |
| 6 | 12.65 |
| 7 | 13.12 |
| 8 | 12.94 |
| 9 | 12.69 |
| 10 | 12.92 |
| 11 | 13.37 |
| 12 | 13.21 |